1.
# ZrTiZnCo

ZrTiZnCo after structural relaxation (PBE-GGA, Alexandria).

Properties
The density of states at the Fermi level is 1.179 states/eV/atom. The value obtained for the formation energy is -0.1767 eV per atom.

Lattice parameters (Å, degrees): 4.4951 4.4951 4.4951 60.00 60.00 60.00
Sites, in units of the cell vectors:
Zr 0.0000 0.0000 0.0000
Ti 0.5000 0.5000 0.5000
Zn 0.2500 0.2500 0.2500
Co 0.7500 0.7500 0.7500

=====

2.
# ZrTi2Co9

ZrTi2Co9 after structural relaxation (PBE-GGA, Alexandria).

Properties
The density of states at the Fermi level is 1.433 states/eV/atom. The value obtained for the formation energy is -0.2351 eV per atom.

Lattice parameters (Å, degrees): 8.2359 8.2359 8.2359 33.45 33.45 33.45
Sites, in units of the cell vectors:
Zr 0.0000 0.0000 0.0000
Ti 0.1403 0.1403 0.1403
Ti 0.8597 0.8597 0.8597
Co 0.0789 0.5889 0.5889
Co 0.3355 0.3355 0.3355
Co 0.4111 0.4111 0.9211
Co 0.4111 0.9211 0.4111
Co 0.5000 0.5000 0.5000
Co 0.5889 0.0789 0.5889
Co 0.5889 0.5889 0.0789
Co 0.6645 0.6645 0.6645
Co 0.9211 0.4111 0.4111

=====

3.
# Zr2TiCo2

Zr2TiCo2 after structural relaxation (PBE-GGA, Alexandria).

Properties
The density of states at the Fermi level is 1.099 states/eV/atom. For the energy above the most stable polymorph in this dataset, the calculation gives 0.340 eV per atom. The value obtained for the formation energy is 0.0108 eV per atom.

Lattice parameters (Å, degrees): 7.5228 7.5228 2.9669 90.00 90.00 90.00
Sites, in units of the cell vectors:
Zr 0.1532 0.3468 0.0000
Zr 0.3468 0.8468 0.0000
Zr 0.6532 0.1532 0.0000
Zr 0.8468 0.6532 0.0000
Ti 0.0000 0.0000 0.0000
Ti 0.5000 0.5000 0.0000
Co 0.1464 0.6464 0.5000
Co 0.3535 0.1464 0.5000
Co 0.6464 0.8536 0.5000
Co 0.8536 0.3535 0.5000

=====

4.
# ZrTi7Co5

ZrTi7Co5 after structural relaxation (PBE-GGA, Alexandria).

Properties
The density of states at the Fermi level is 1.196 states/eV/atom. The value obtained for the formation energy is -0.2641 eV per atom.

Lattice parameters (Å, degrees): 6.6114 6.6114 6.6114 134.84 98.12 98.84
Sites, in units of the cell vectors:
Zr 0.0000 0.0000 0.0000
Ti 0.1723 0.4790 0.6933
Ti 0.2282 0.7282 0.5000
Ti 0.3502 0.3502 0.0000
Ti 0.3563 0.0121 0.3442
Ti 0.6678 0.0121 0.6558
Ti 0.6685 0.6685 0.0000
Ti 0.7857 0.4790 0.3067
Co 0.4889 0.4945 0.4975
Co 0.4889 0.9914 0.9944
Co 0.7602 0.2602 0.5000
Co 0.9970 0.4945 0.0056
Co 0.9970 0.9914 0.5025